1.
First-principles (GGA-PBE) data for a relaxed SmDyCI crystal, as listed in OQMD.

Summary:
Total DFT energy (no corrections), eV/atom: -5.7534
Theoretical density, g/cm³: 7.92

a = 3.8067 Å, b = 3.8067 Å, c = 22.6300 Å
α = 90.00°, β = 90.00°, γ = 120.00°
Space group R3m (No. 160, hexagonal axes)
Inequivalent atoms, fractional coordinates:
Sm 0.0000 0.0000 0.0000 x3
Dy 0.0000 0.0000 0.4470 x3
C 0.0000 0.0000 0.7273 x3
I 0.0000 0.0000 0.2220 x3


2.
First-principles (GGA-PBE) data for a relaxed NaNiIrS3 crystal, as listed in OQMD.

Summary:
Total DFT energy (no corrections), eV/atom: -5.1351
Theoretical density, g/cm³: 5.76

a = 3.589 Å, b = 12.815 Å, c = 9.282 Å
α = 90.00°, β = 90.00°, γ = 90.00°
Space group Cmcm (No. 63)
Inequivalent atoms, fractional coordinates:
Na 0.000 0.244 0.250 x4
Ni 0.000 0.473 0.750 x4
Ir 0.000 0.000 0.000 x4
S 0.000 0.077 0.750 x4
S 0.000 0.381 0.552 x8


3.
First-principles (GGA-PBE) data for a relaxed FeReSiIr crystal, as listed in OQMD.

Summary:
Total DFT energy (no corrections), eV/atom: -8.6894
Distance to the lowest polymorph of the same formula, eV per atom: 0.000
Theoretical density, g/cm³: 14.35

a = 5.981 Å, b = 5.981 Å, c = 5.981 Å
α = 90.00°, β = 90.00°, γ = 90.00°
Space group F-43m (No. 216)
Inequivalent atoms, fractional coordinates:
Fe 0.000 0.000 0.000 x4
Re 0.000 0.000 0.500 x4
Si 0.250 0.250 0.750 x4
Ir 0.250 0.250 0.250 x4


4.
First-principles (GGA-PBE) data for a relaxed YTe3PbAu crystal, as listed in OQMD.

Summary:
Total DFT energy (no corrections), eV/atom: -4.4998
Distance to the lowest polymorph of the same formula, eV per atom: 0.031
Theoretical density, g/cm³: 8.12

a = 13.161 Å, b = 4.468 Å, c = 12.180 Å
α = 90.00°, β = 90.00°, γ = 90.00°
Space group Pnma (No. 62)
Inequivalent atoms, fractional coordinates:
Y 0.020 0.250 0.190 x4
Te 0.034 0.750 0.367 x4
Te 0.101 0.250 0.947 x4
Te 0.194 0.750 0.677 x4
Pb 0.221 0.250 0.451 x4
Au 0.197 0.750 0.231 x4